# 1
First-principles (PBE) data for a relaxed RuAuN3 crystal, as listed in the Alexandria database.

CIF file:
```
data_RuAuN3
_cell_length_a 3.976
_cell_length_b 3.976
_cell_length_c 3.976
_cell_angle_alpha 90.00
_cell_angle_beta 90.00
_cell_angle_gamma 90.00
_symmetry_space_group_name_H-M 'P m -3 m'
_symmetry_Int_Tables_number 221
_symmetry_space_group_name_Hall '-P 4 2 3'
loop_
_atom_site_label
_atom_site_fract_x
_atom_site_fract_y
_atom_site_fract_z
Ru1 0.000 0.000 0.000
Au1 0.500 0.500 0.500
N1 0.000 0.500 0.500
```

N(E_F), states/eV/cell: 6.5
ΔE_f (raw), eV/atom: 2.79


# 2
First-principles (PBE) data for a relaxed RuAuN2 crystal, as listed in the Alexandria database.

CIF file:
```
data_RuAuN2
_cell_length_a 2.9701
_cell_length_b 2.9701
_cell_length_c 19.2647
_cell_angle_alpha 90.00
_cell_angle_beta 90.00
_cell_angle_gamma 120.00
_symmetry_space_group_name_H-M 'R -3 m'
_symmetry_Int_Tables_number 166
_symmetry_space_group_name_Hall '-R 3 2"'
loop_
_atom_site_label
_atom_site_fract_x
_atom_site_fract_y
_atom_site_fract_z
Ru1 0.0000 0.0000 0.0000
Au1 0.0000 0.0000 0.5000
N1 0.0000 0.0000 0.3931
```

N(E_F), states/eV/cell: 7.0
ΔE to the lowest computed polymorph, eV per atom: 0.000
ΔE_f (raw), eV/atom: 0.66


# 3
First-principles (PBE) data for a relaxed RuAuSeN2 crystal, as listed in the Alexandria database.

CIF file:
```
data_RuAuSeN2
_cell_length_a 3.773
_cell_length_b 3.773
_cell_length_c 7.765
_cell_angle_alpha 90.00
_cell_angle_beta 90.00
_cell_angle_gamma 90.00
_symmetry_space_group_name_H-M 'P 4/m m m'
_symmetry_Int_Tables_number 123
_symmetry_space_group_name_Hall '-P 4 2'
loop_
_atom_site_label
_atom_site_fract_x
_atom_site_fract_y
_atom_site_fract_z
Ru1 0.000 0.000 0.000
Au1 0.500 0.500 0.500
Se1 0.500 0.500 0.000
N1 0.000 0.500 0.500
```

N(E_F), states/eV/cell: 5.2
ΔE to the lowest computed polymorph, eV per atom: 1.296
ΔE_f (raw), eV/atom: 2.07


# 4
First-principles (PBE) data for a relaxed RuAuSe2N crystal, as listed in the Alexandria database.

CIF file:
```
data_RuAuSe2N
_cell_length_a 5.263
_cell_length_b 5.263
_cell_length_c 3.706
_cell_angle_alpha 90.00
_cell_angle_beta 90.00
_cell_angle_gamma 90.00
_symmetry_space_group_name_H-M 'P 4/m m m'
_symmetry_Int_Tables_number 123
_symmetry_space_group_name_Hall '-P 4 2'
loop_
_atom_site_label
_atom_site_fract_x
_atom_site_fract_y
_atom_site_fract_z
Ru1 0.000 0.000 0.000
Au1 0.500 0.500 0.500
Se1 0.000 0.500 0.500
N1 0.500 0.500 0.000
```

N(E_F), states/eV/cell: 6.8
ΔE to the lowest computed polymorph, eV per atom: 1.028
ΔE_f (raw), eV/atom: 1.55


# 5
First-principles (PBE) data for a relaxed RuAuSe2N crystal, as listed in the Alexandria database.

CIF file:
```
data_RuAuSe2N
_cell_length_a 5.094
_cell_length_b 5.094
_cell_length_c 3.628
_cell_angle_alpha 90.00
_cell_angle_beta 90.00
_cell_angle_gamma 90.00
_symmetry_space_group_name_H-M 'P 4/m m m'
_symmetry_Int_Tables_number 123
_symmetry_space_group_name_Hall '-P 4 2'
loop_
_atom_site_label
_atom_site_fract_x
_atom_site_fract_y
_atom_site_fract_z
Ru1 0.000 0.000 0.000
Au1 0.500 0.500 0.500
Se1 0.000 0.500 0.000
N1 0.000 0.000 0.500
```

N(E_F), states/eV/cell: 5.2
ΔE to the lowest computed polymorph, eV per atom: 0.000
ΔE_f (raw), eV/atom: 0.53


# 6
First-principles (PBE) data for a relaxed RuAuSeN2 crystal, as listed in the Alexandria database.

CIF file:
```
data_RuAuSeN2
_cell_length_a 3.774
_cell_length_b 3.774
_cell_length_c 5.637
_cell_angle_alpha 90.00
_cell_angle_beta 90.00
_cell_angle_gamma 90.00
_symmetry_space_group_name_H-M 'P 4/m m m'
_symmetry_Int_Tables_number 123
_symmetry_space_group_name_Hall '-P 4 2'
loop_
_atom_site_label
_atom_site_fract_x
_atom_site_fract_y
_atom_site_fract_z
Ru1 0.000 0.000 0.000
Au1 0.500 0.500 0.500
Se1 0.000 0.000 0.500
N1 0.000 0.500 0.000
```

N(E_F), states/eV/cell: 2.3
ΔE to the lowest computed polymorph, eV per atom: 0.000
ΔE_f (raw), eV/atom: 0.77


# 7
First-principles (PBE) data for a relaxed SrRu2AuN crystal, as listed in the Alexandria database.

CIF file:
```
data_SrRu2AuN
_cell_length_a 4.131
_cell_length_b 4.131
_cell_length_c 4.956
_cell_angle_alpha 90.00
_cell_angle_beta 90.00
_cell_angle_gamma 90.00
_symmetry_space_group_name_H-M 'P 4/m m m'
_symmetry_Int_Tables_number 123
_symmetry_space_group_name_Hall '-P 4 2'
loop_
_atom_site_label
_atom_site_fract_x
_atom_site_fract_y
_atom_site_fract_z
Sr1 0.000 0.000 0.000
Ru1 0.000 0.500 0.500
Au1 0.500 0.500 0.000
N1 0.500 0.500 0.500
```

N(E_F), states/eV/cell: 3.8
ΔE_f (raw), eV/atom: 0.38


# 8
First-principles (PBE) data for a relaxed Sr2RuAuN crystal, as listed in the Alexandria database.

CIF file:
```
data_Sr2RuAuN
_cell_length_a 5.446
_cell_length_b 5.446
_cell_length_c 3.803
_cell_angle_alpha 90.00
_cell_angle_beta 90.00
_cell_angle_gamma 90.00
_symmetry_space_group_name_H-M 'P 4/m m m'
_symmetry_Int_Tables_number 123
_symmetry_space_group_name_Hall '-P 4 2'
loop_
_atom_site_label
_atom_site_fract_x
_atom_site_fract_y
_atom_site_fract_z
Sr1 0.000 0.500 0.000
Ru1 0.000 0.000 0.500
Au1 0.500 0.500 0.500
N1 0.000 0.000 0.000
```

N(E_F), states/eV/cell: 1.1
ΔE_f (raw), eV/atom: -0.55